Entry 1:
A plane-wave DFT calculation with PBE was carried out for a relaxed structure of CePmRuPb.

```
4
Lattice="-2.780 -1.604 4.148 -1.687 -4.959 0.267 2.132 -3.312 3.463" Properties=species:S:1:pos:R:3 pbc="T T T"
Pb -0.584 -2.469 1.970
Ru -1.752 -7.407 5.909
Ce 0.000 0.000 0.000
Pm -1.168 -4.938 3.939
```

Values from the calculation:
volume	102.03	Å³/cell
excess energy over the best structure of this formula in the dataset	247	meV per atom
SG	F-43m, No. 216
calculated density	9.66	g/cm3

***

Entry 2:
A plane-wave DFT calculation with PBE was carried out for a relaxed structure of Ac7Ag2Rh2.

```
11
Lattice="-2.130 1.595 -3.249 2.809 -6.266 -7.632 -6.099 -7.848 -2.570" Properties=species:S:1:pos:R:3 pbc="T T T"
Ac -3.285 -1.497 -4.011
Ac -5.947 -7.605 -7.979
Ac 1.524 -5.508 -9.132
Ac -1.629 -4.471 -6.556
Ac -1.868 -7.707 -7.989
Ac -4.013 -11.355 -8.374
Ac -3.554 -5.638 -3.154
Ag -3.122 -9.382 -10.703
Ag -0.388 -2.798 -3.834
Rh 0.744 -6.633 -6.459
Rh -4.058 -6.499 -5.960
```

Values from the calculation:
volume	374.85	Å³/cell
excess energy over the best structure of this formula in the dataset	0	meV per atom
SG	Imm2, No. 44
calculated density	8.91	g/cm3

***

Entry 3:
A plane-wave DFT calculation with PBE was carried out for a relaxed structure of Cd3W.

```
4
Lattice="2.985 0.000 0.000 -1.492 2.585 0.000 0.000 0.000 10.068" Properties=species:S:1:pos:R:3 pbc="T T T"
W 0.000 1.723 7.551
Cd 0.000 0.000 9.964
Cd 0.000 0.000 5.138
Cd 0.000 1.723 2.517
```

Values from the calculation:
volume	77.68	Å³/cell
excess energy over the best structure of this formula in the dataset	0	meV per atom
SG	P-6m2, No. 187
calculated density	11.14	g/cm3

***

Entry 4:
A plane-wave DFT calculation with PBE was carried out for a relaxed structure of YSe2Cl.

```
4
Lattice="-1.874 0.385 3.739 -1.994 -4.923 -0.492 2.750 -5.373 1.931" Properties=species:S:1:pos:R:3 pbc="T T T"
Cl -0.369 -7.530 2.948
Se 0.160 -0.543 0.136
Se 0.218 -4.605 0.583
Y -0.748 -2.382 2.229
```

Values from the calculation:
uncorrected formation energy	-1403	meV/atom
volume	114.41	Å³/cell
excess energy over the best structure of this formula in the dataset	0	meV per atom
SG	P2/m, No. 10
calculated density	4.10	g/cm3